[1]
Computed, not measured: a crystal of BaMo2Os relaxed with PBEsol at the meta-GGA SCAN level of DFT.

Calculated values
The space group is No. 65. As for the density: 11.11 g/cm³. The calculation puts the volume at 77.67 Å³ per cell. Its total energy is -44.39 eV per atom. The magnetization comes out at 0.0 Bohr magnetons per cell. As for the formation energy: 0.91 eV per atom. The excess energy over the best structure of this formula in the dataset is 0 meV/atom.

Cell: 2.8906 2.8906 9.2972 Å, 90.00 90.00 91.32°
Atoms (fractional coordinates):
Ba (0.5000, 0.5000, 0.0000)
Mo (0.0000, 0.0000, 0.3115)
Mo (0.0000, 0.0000, 0.6885)
Os (0.5000, 0.5000, 0.5000)

[2]
Computed, not measured: a crystal of Ba2YMoOs relaxed with PBEsol at the meta-GGA SCAN level of DFT.

Calculated values
The space group is No. 123. As for the density: 6.93 g/cm³. The calculation puts the volume at 155.61 Å³ per cell. Its total energy is -41.58 eV per atom. The magnetization comes out at 0.0 Bohr magnetons per cell. As for the formation energy: 1.16 eV per atom.

Cell: 4.7052 5.7507 5.7507 Å, 90.00 90.00 90.00°
Atoms (fractional coordinates):
Y (0.5000, 0.5000, 0.5000)
Mo (0.0000, 0.0000, 0.0000)
Os (0.5000, 0.0000, 0.0000)
Ba (0.0000, 0.0000, 0.5000)
Ba (0.0000, 0.5000, 0.0000)

[3]
Computed, not measured: a crystal of BaMoP2 relaxed with PBEsol at the meta-GGA SCAN level of DFT.

Calculated values
The space group is No. 187. As for the density: 6.01 g/cm³. The calculation puts the volume at 81.56 Å³ per cell. Its total energy is -24.47 eV per atom. The magnetization comes out at 0.0 Bohr magnetons per cell. As for the formation energy: -0.66 eV per atom.

Cell: 3.6302 3.6302 7.1467 Å, 90.00 90.00 120.00°
Atoms (fractional coordinates):
Ba (0.6667, 0.3333, 0.0000)
Mo (0.3333, 0.6667, 0.5000)
P (0.0000, 0.0000, 0.3144)
P (0.0000, 0.0000, 0.6856)

Among the records above, which one has the highest volume?
Ba2YMoOs